# Nd4ScBi2

Nd4ScBi2 after structural relaxation (PBE-GGA, Alexandria).

```
7
Lattice="-2.638 2.638 8.714 2.638 -2.638 8.714 2.638 2.638 -8.714" Properties=species:S:1:pos:R:3 pbc="T T T"
Nd 2.638 0.000 0.000
Nd 0.000 0.000 3.138
Nd 0.000 2.638 0.000
Nd 0.000 0.000 14.289
Sc 0.000 0.000 0.000
Bi 0.000 0.000 6.333
Bi 0.000 0.000 11.094
```

**ΔH_f (0 K)**: 15 meV per atom
**Space-group type**: I4/mmm, No. 139
**DFT total energy**: -0.3471 Ry per atom